# 1
VASP calculation (GGA-PBE) on a geometry-optimized Ti5ZnIr6 structure.

Calculated values
magnetic moment: 0.0 μB per cell
volume: 14.90 Å³/atom
calculated formation energy: -0.787 eV/atom
density: 13.54 g/cm³

Cell and atoms, written as CIF:
```
data_Ti5ZnIr6
_chemical_formula_sum 'Ti10 Zn2 Ir12'
_symmetry_space_group_name_H-M 'I m m m'
_symmetry_Int_Tables_number 71
_symmetry_space_group_name_Hall '-I 2 2'
_cell_length_a 4.189
_cell_length_b 6.836
_cell_length_c 12.492
_cell_angle_alpha 90.00
_cell_angle_beta 90.00
_cell_angle_gamma 90.00
loop_
_atom_site_label
_atom_site_type_symbol
_atom_site_fract_x
_atom_site_fract_y
_atom_site_fract_z
_atom_site_occupancy
Ti1 Ti 0.000 0.000 0.000 1
Ti2 Ti 0.000 0.000 0.334 1
Ti3 Ti 0.000 0.500 0.338 1
Zn1 Zn 0.000 0.500 0.000 1
Ir1 Ir 0.000 0.245 0.500 1
Ir2 Ir 0.000 0.254 0.168 1
```


# 2
VASP calculation (GGA-PBE) on a geometry-optimized TiZn3Ir4 structure.

Calculated values
magnetic moment: 0.0 μB per cell
volume: 14.19 Å³/atom
calculated formation energy: -0.425 eV/atom
density: 14.82 g/cm³

Cell and atoms, written as CIF:
```
data_TiZn3Ir4
_chemical_formula_sum 'Ti2 Zn6 Ir8'
_symmetry_space_group_name_H-M 'I 4/m m m'
_symmetry_Int_Tables_number 139
_symmetry_space_group_name_Hall '-I 4 2'
_cell_length_a 4.311
_cell_length_b 4.311
_cell_length_c 12.212
_cell_angle_alpha 90.00
_cell_angle_beta 90.00
_cell_angle_gamma 90.00
loop_
_atom_site_label
_atom_site_type_symbol
_atom_site_fract_x
_atom_site_fract_y
_atom_site_fract_z
_atom_site_occupancy
Ti1 Ti 0.000 0.000 0.000 1
Zn1 Zn 0.000 0.000 0.251 1
Zn2 Zn 0.000 0.000 0.500 1
Ir1 Ir 0.000 0.500 0.127 1
```


# 3
VASP calculation (GGA-PBE) on a geometry-optimized Ti2ZnIr structure.

Calculated values
magnetic moment: 0.0 μB per cell
volume: 18.50 Å³/atom
calculated formation energy: 0.176 eV/atom
density: 7.93 g/cm³

Cell and atoms, written as CIF:
```
data_Ti2ZnIr
_chemical_formula_sum 'Ti4 Zn2 Ir2'
_symmetry_space_group_name_H-M 'I m m m'
_symmetry_Int_Tables_number 71
_symmetry_space_group_name_Hall '-I 2 2'
_cell_length_a 2.876
_cell_length_b 4.152
_cell_length_c 12.393
_cell_angle_alpha 90.00
_cell_angle_beta 90.00
_cell_angle_gamma 90.00
loop_
_atom_site_label
_atom_site_type_symbol
_atom_site_fract_x
_atom_site_fract_y
_atom_site_fract_z
_atom_site_occupancy
Ti1 Ti 0.000 0.000 0.193 1
Zn1 Zn 0.000 0.000 0.500 1
Ir1 Ir 0.000 0.000 0.000 1
```


# 4
VASP calculation (GGA-PBE) on a geometry-optimized Ti3ZnIr structure.

Calculated values
magnetic moment: 0.0 μB per cell
E above lowest polymorph: 173.7 meV/atom
volume: 16.12 Å³/atom
calculated formation energy: -0.283 eV/atom
density: 8.27 g/cm³

Cell and atoms, written as CIF:
```
data_Ti3ZnIr
_chemical_formula_sum 'Ti24 Zn8 Ir8'
_symmetry_space_group_name_H-M 'C 1 2/c 1'
_symmetry_Int_Tables_number 15
_symmetry_space_group_name_Hall '-C 2yc'
_cell_length_a 10.975
_cell_length_b 8.644
_cell_length_c 8.080
_cell_angle_alpha 90.00
_cell_angle_beta 122.75
_cell_angle_gamma 90.00
loop_
_atom_site_label
_atom_site_type_symbol
_atom_site_fract_x
_atom_site_fract_y
_atom_site_fract_z
_atom_site_occupancy
Ti1 Ti 0.099 0.163 0.128 1
Ti2 Ti 0.163 0.490 0.083 1
Ti3 Ti 0.191 0.148 0.556 1
Zn1 Zn 0.135 0.298 0.804 1
Ir1 Ir 0.000 0.040 0.750 1
Ir2 Ir 0.000 0.389 0.250 1
```